[1]
VASP calculation (PBE) on a relaxed structure of DyY2Ho3.

- space-group type = C2/m, No. 12
- energy above the most stable polymorph in this dataset (meV per atom) = 72.0
- formation energy (eV per atom) = 0.073

Unit cell a=8.921 b=8.921 c=9.672 alpha=122.81 beta=122.81 gamma=36.65
Sites, in units of the cell vectors:
Dy 0.125 0.125 0.125
Dy 0.875 0.875 0.875
Y 0.249 0.249 0.912
Y 0.499 0.499 0.831
Y 0.501 0.501 0.169
Y 0.751 0.751 0.088
Ho 0.001 0.001 0.335
Ho 0.249 0.249 0.579
Ho 0.375 0.375 0.376
Ho 0.625 0.625 0.624
Ho 0.751 0.751 0.421
Ho 0.999 0.999 0.665

[2]
VASP calculation (PBE) on a relaxed structure of CrBr2Cl.

- space-group type = C2/m, No. 12
- energy above the most stable polymorph in this dataset (meV per atom) = 779.5
- ΔE_f (raw) (eV per atom) = 0.009

Unit cell a=5.871 b=5.871 c=4.929 alpha=102.58 beta=102.58 gamma=128.67
Sites, in units of the cell vectors:
Cr 0.000 0.000 0.000
Br 0.000 0.500 0.500
Br 0.500 0.000 0.500
Cl 0.500 0.500 0.000

[3]
VASP calculation (PBE) on a relaxed structure of SmGa4PdAu2.

- space-group type = R-3m, No. 166
- formation energy (eV per atom) = -0.478

Unit cell a=9.268 b=9.268 c=9.268 alpha=27.47 beta=27.47 gamma=27.47
Sites, in units of the cell vectors:
Sm 0.000 0.000 0.000
Ga 0.132 0.132 0.132
Ga 0.397 0.397 0.397
Ga 0.603 0.603 0.603
Ga 0.868 0.868 0.868
Pd 0.500 0.500 0.500
Au 0.246 0.246 0.246
Au 0.754 0.754 0.754

[4]
VASP calculation (PBE) on a relaxed structure of Np2CrCo3P4.

- space-group type = P-4m2, No. 115
- formation energy (eV per atom) = -0.710

Unit cell a=3.955 b=3.955 c=9.016 alpha=90.00 beta=90.00 gamma=90.00
Sites, in units of the cell vectors:
Np 0.000 0.500 0.245
Np 0.500 0.000 0.755
Cr 0.000 0.000 0.500
Co 0.000 0.500 0.889
Co 0.500 0.000 0.111
Co 0.500 0.500 0.500
P 0.000 0.000 0.000
P 0.000 0.500 0.640
P 0.500 0.000 0.360
P 0.500 0.500 0.000

[5]
VASP calculation (PBE) on a relaxed structure of Li7Zn3Si.

- space-group type = Cmcm, No. 63
- ΔE_f (raw) (eV per atom) = -0.123

Unit cell a=10.760 b=10.760 c=12.570 alpha=90.00 beta=90.00 gamma=165.63
Sites, in units of the cell vectors:
Li 0.051 0.949 0.634
Li 0.051 0.949 0.866
Li 0.081 0.919 0.093
Li 0.081 0.919 0.407
Li 0.175 0.825 0.750
Li 0.223 0.777 0.108
Li 0.223 0.777 0.392
Li 0.777 0.223 0.608
Li 0.777 0.223 0.892
Li 0.825 0.175 0.250
Li 0.919 0.081 0.593
Li 0.919 0.081 0.907
Li 0.949 0.051 0.134
Li 0.949 0.051 0.366
Zn 0.345 0.655 0.053
Zn 0.345 0.655 0.447
Zn 0.351 0.649 0.750
Zn 0.649 0.351 0.250
Zn 0.655 0.345 0.553
Zn 0.655 0.345 0.947
Si 0.471 0.529 0.750
Si 0.529 0.471 0.250

[6]
VASP calculation (PBE) on a relaxed structure of SrMnZn2.

- space-group type = C2/m, No. 12
- formation energy (eV per atom) = -0.010

Unit cell a=4.427 b=4.427 c=6.061 alpha=111.30 beta=111.30 gamma=59.95
Sites, in units of the cell vectors:
Sr 0.000 0.000 0.000
Mn 0.500 0.500 0.500
Zn 0.195 0.195 0.585
Zn 0.805 0.805 0.415

[7]
VASP calculation (PBE) on a relaxed structure of ScAgOs2.

- space-group type = P4/mmm, No. 123
- energy above the most stable polymorph in this dataset (meV per atom) = 153.9
- formation energy (eV per atom) = 0.227

Unit cell a=3.923 b=3.923 c=4.169 alpha=90.00 beta=90.00 gamma=90.00
Sites, in units of the cell vectors:
Sc 0.000 0.000 0.000
Ag 0.500 0.500 0.000
Os 0.000 0.500 0.500
Os 0.500 0.000 0.500

[8]
VASP calculation (PBE) on a relaxed structure of Nd3Tc2N8.

- space-group type = R-3m, No. 166
- ΔE_f (raw) (eV per atom) = -0.527

Unit cell a=7.540 b=7.540 c=7.540 alpha=43.83 beta=43.83 gamma=43.83
Sites, in units of the cell vectors:
Nd 0.000 0.000 0.000
Nd 0.202 0.202 0.202
Nd 0.798 0.798 0.798
Tc 0.406 0.406 0.406
Tc 0.594 0.594 0.594
N 0.214 0.737 0.737
N 0.263 0.263 0.786
N 0.263 0.786 0.263
N 0.318 0.318 0.318
N 0.682 0.682 0.682
N 0.737 0.214 0.737
N 0.737 0.737 0.214
N 0.786 0.263 0.263

[9]
VASP calculation (PBE) on a relaxed structure of Mg2TaSi.

- space-group type = I4/mmm, No. 139
- ΔE_f (raw) (eV per atom) = 0.060

Unit cell a=5.540 b=5.540 c=5.540 alpha=139.87 beta=139.87 gamma=58.05
Sites, in units of the cell vectors:
Mg 0.250 0.750 0.500
Mg 0.750 0.250 0.500
Ta 0.000 0.000 0.000
Si 0.500 0.500 0.000

[10]
VASP calculation (PBE) on a relaxed structure of TaMoOs.

- space-group type = Cm, No. 8
- energy above the most stable polymorph in this dataset (meV per atom) = 31.3
- formation energy (eV per atom) = -0.050

Unit cell a=5.271 b=5.271 c=3.187 alpha=107.48 beta=107.48 gamma=35.19
Sites, in units of the cell vectors:
Ta 0.000 0.000 0.000
Mo 0.336 0.336 0.334
Os 0.664 0.664 0.665

[11]
VASP calculation (PBE) on a relaxed structure of CeZrSc5.

- space-group type = C2/c, No. 15
- formation energy (eV per atom) = 0.204

Unit cell a=11.022 b=11.022 c=6.430 alpha=96.84 beta=96.84 gamma=148.79
Sites, in units of the cell vectors:
Ce 0.126 0.874 0.750
Ce 0.874 0.126 0.250
Zr 0.154 0.846 0.250
Zr 0.846 0.154 0.750
Sc 0.222 0.281 0.009
Sc 0.274 0.719 0.005
Sc 0.281 0.222 0.509
Sc 0.281 0.726 0.495
Sc 0.403 0.597 0.750
Sc 0.597 0.403 0.250
Sc 0.719 0.274 0.505
Sc 0.719 0.778 0.491
Sc 0.726 0.281 0.995
Sc 0.778 0.719 0.991

[12]
VASP calculation (PBE) on a relaxed structure of LiCd2Ni.

- space-group type = Cm, No. 8
- energy above the most stable polymorph in this dataset (meV per atom) = 72.5
- formation energy (eV per atom) = -0.066

Unit cell a=5.265 b=5.265 c=4.372 alpha=113.57 beta=113.57 gamma=36.76
Sites, in units of the cell vectors:
Li 0.000 0.000 0.000
Cd 0.233 0.233 0.739
Cd 0.465 0.465 0.463
Ni 0.728 0.728 0.234

[13]
VASP calculation (PBE) on a relaxed structure of SiP2SCl.

- space-group type = P4/mmm, No. 123
- energy above the most stable polymorph in this dataset (meV per atom) = 325.6
- ΔE_f (raw) (eV per atom) = 1.014

Unit cell a=4.622 b=4.622 c=4.650 alpha=90.00 beta=90.00 gamma=90.00
Sites, in units of the cell vectors:
Si 0.000 0.000 0.000
P 0.000 0.500 0.500
P 0.500 0.000 0.500
S 0.500 0.500 0.500
Cl 0.500 0.500 0.000

[14]
VASP calculation (PBE) on a relaxed structure of Ta2BeRu.

- space-group type = P4/mmm, No. 123
- formation energy (eV per atom) = -0.094

Unit cell a=4.015 b=4.015 c=3.722 alpha=90.00 beta=90.00 gamma=90.00
Sites, in units of the cell vectors:
Ta 0.000 0.500 0.000
Ta 0.500 0.000 0.000
Be 0.000 0.000 0.500
Ru 0.500 0.500 0.500

[15]
VASP calculation (PBE) on a relaxed structure of RbScMnC2.

- space-group type = P4/mmm, No. 123
- energy above the most stable polymorph in this dataset (meV per atom) = 0.0
- formation energy (eV per atom) = 1.322

Unit cell a=3.989 b=3.989 c=4.650 alpha=90.00 beta=90.00 gamma=90.00
Sites, in units of the cell vectors:
Rb 0.000 0.000 0.000
Sc 0.500 0.500 0.000
Mn 0.500 0.500 0.500
C 0.000 0.500 0.500
C 0.500 0.000 0.500

| no. | total magnetic moment (μB/cell) |
| --- | --- |
| 1 | 0.0 |
| 2 | 4.4 |
| 3 | 0.0 |
| 4 | 4.7 |
| 5 | 0.0 |
| 6 | 3.6 |
| 7 | 0.0 |
| 8 | 0.0 |
| 9 | 0.0 |
| 10 | 0.0 |
| 11 | 2.1 |
| 12 | 0.0 |
| 13 | 0.0 |
| 14 | 0.0 |
| 15 | 0.0 |